{
  "formula": "Ac8FeCo2",
  "functional": "PBE",
  "state": "optimized geometry",
  "cell": [[6.125, 0.122, 0.176], [0.210, 8.110, 1.291], [0.195, -0.985, 8.153]],
  "species": ["Ac", "Ac", "Ac", "Ac", "Ac", "Ac", "Ac", "Ac", "Fe", "Co", "Co"],
  "fractional_positions": [[0.755, 0.393, 0.393], [0.703, 0.847, 0.847], [0.233, 0.118, 0.645], [0.767, 0.882, 0.355], [0.767, 0.355, 0.882], [0.297, 0.153, 0.153], [0.233, 0.645, 0.118], [0.245, 0.607, 0.607], [0.000, 0.000, 0.000], [0.775, 0.161, 0.161], [0.225, 0.839, 0.839]],
  "e_form_kj_per_mol_atoms": 12,
  "sg": "C2/m",
  "crystal_system": "monoclinic"
}